Density functional theory data (PBE with a Hubbard U) for ZnNiHgF6 after structural relaxation.

The density is 5936 kg/m3. The density of states at the Fermi level is 0.00 states/eV/f.u. The electronic total energy comes out at -3.6748 eV/atom.

The structure belongs to space group P-31c (No. 163); the cell edges are 5.3726, 5.3726 and 9.8188 Å and the angles 90.00°, 90.00° and 120.00°. Symmetry generates all atoms from Zn at (0.3333, 0.6667, 0.2500), Ni at (0.3333, 0.6667, 0.7500), Hg at (0.0000, 0.0000, 0.0000) and F at (0.0049, 0.3608, 0.6385).